--- P ---
## GeHI2O (PBE)

Data for a relaxed structure of GeHI2O.

Cell and atoms, written as POSCAR:
```
GeHI2O
1.0
-4.9764 0.9243 -3.1648
-0.5007 -5.8755 -0.9286
-1.9742 -0.3082 3.0142
O I H Ge
1 2 1 1
Direct
0.0000 0.0000 0.5000
0.0000 0.5000 0.0000
0.5000 0.0000 0.0000
0.5000 0.5000 0.5000
0.0000 0.0000 0.0000
```

Output
* size of the total moment: 0.87 μB/f.u.
* ρ: 4.4 g cm⁻³



--- Q ---
## GeHI2O (PBE)

Data for a relaxed structure of GeHI2O.

Cell and atoms, written as POSCAR:
```
GeHI2O
1.0
-5.0824 -3.2532 0.6486
2.5941 -3.1582 4.4867
-0.9734 1.8995 1.8998
I O Ge H
2 1 1 1
Direct
0.5000 0.0000 0.0000
0.0000 0.5000 0.0000
0.0000 0.0000 0.5000
0.5000 0.5000 0.5000
0.0000 0.0000 0.0000
```

Output
* size of the total moment: 0.00 μB/f.u.
* ρ: 5.4 g cm⁻³



It is P that is the most stable of them.



--- P ---
## InGeH2 (PBE)

Data for a relaxed structure of InGeH2.

Cell and atoms, written as POSCAR:
```
InGeH2
1.0
5.2717 0.0000 0.0000
0.0000 5.2717 0.0000
2.6359 2.6359 4.5268
Ge H In
2 4 2
Direct
0.2500 0.7500 0.5000
0.5000 0.5000 0.0000
0.8750 0.7071 0.7500
0.2929 0.6250 0.2500
0.4571 0.1250 0.2500
0.3750 0.5429 0.7500
0.0000 0.0000 0.0000
0.7500 0.2500 0.5000
```

Output
* size of the total moment: 0.00 μB/f.u.
* ρ: 5.0 g cm⁻³



--- Q ---
## InGeH2 (PBE)

Data for a relaxed structure of InGeH2.

Cell and atoms, written as POSCAR:
```
InGeH2
1.0
0.0000 2.9622 2.9622
2.9622 0.0000 2.9622
2.9622 2.9622 0.0000
In H Ge
1 2 1
Direct
0.5000 0.5000 0.5000
0.2500 0.2500 0.2500
0.7500 0.7500 0.7500
0.0000 0.0000 0.0000
```

Output
* size of the total moment: 0.00 μB/f.u.
* ρ: 6.1 g cm⁻³



It is P that is the most stable of them.



--- P ---
## InGeH3 (PBE)

Data for a relaxed structure of InGeH3.

Cell and atoms, written as POSCAR:
```
InGeH3
1.0
-0.9475 -2.1877 -3.1552
-2.2677 -2.3036 2.2782
-3.0982 2.3551 -0.7025
Ge H In
1 3 1
Direct
0.0000 0.0000 0.0000
0.0000 0.0000 0.5000
0.0000 0.5000 0.0000
0.5000 0.0000 0.0000
0.5000 0.5000 0.5000
```

Output
* size of the total moment: 0.00 μB/f.u.
* ρ: 5.1 g cm⁻³



--- Q ---
## InGeH3 (PBE)

Data for a relaxed structure of InGeH3.

Cell and atoms, written as POSCAR:
```
InGeH3
1.0
-2.6178 -2.6752 1.3772
-0.8996 -1.0461 -3.7420
2.8713 -2.7668 0.0832
H In Ge
3 1 1
Direct
0.0000 0.0000 0.5000
0.5000 0.0000 0.0000
0.0000 0.5000 0.0000
0.0000 0.0000 0.0000
0.5000 0.5000 0.5000
```

Output
* size of the total moment: 0.00 μB/f.u.
* ρ: 5.0 g cm⁻³



It is P that is the most stable of them.



--- P ---
## InGeH (PBE)

Data for a relaxed structure of InGeH.

Cell and atoms, written as POSCAR:
```
InGeH
1.0
-1.1585 -1.9748 -2.2857
-0.5199 -5.4638 2.8042
-6.7140 0.1115 0.9860
H In Ge
2 2 2
Direct
0.2793 0.1952 0.3755
0.2880 0.1568 0.4855
0.9819 0.7210 0.1994
0.7925 0.6527 0.6374
0.2783 0.3952 0.9231
0.4986 0.9782 0.9139
```

Output
* size of the total moment: 0.00 μB/f.u.
* ρ: 4.9 g cm⁻³



--- Q ---
## InGeH (PBE)

Data for a relaxed structure of InGeH.

Cell and atoms, written as POSCAR:
```
InGeH
1.0
6.9745 0.0000 0.0000
0.0000 4.7713 0.0000
0.0000 0.0000 7.7233
H Ge In
4 4 4
Direct
0.5602 0.7500 0.5257
0.4398 0.2500 0.4743
0.9398 0.2500 0.0257
0.0602 0.7500 0.9743
0.2524 0.7500 0.8635
0.2476 0.2500 0.3635
0.7476 0.2500 0.1365
0.7524 0.7500 0.6365
0.1685 0.7500 0.5233
0.3315 0.2500 0.0233
0.6685 0.7500 0.9767
0.8315 0.2500 0.4767
```

Output
* size of the total moment: 0.00 μB/f.u.
* ρ: 4.9 g cm⁻³



It is P that is the most stable of them.